## RbB2H8 (GGA-PBE)

Data for a geometry-optimized RbB2H8 structure.

Values from the calculation:
Energy = -3.83 eV per atom
SG = C2/m
Excess energy over the best structure of this formula in the dataset = 0 meV per atom

abc: 5.0142 5.1405 8.6050
angles: 120.23 90.00 119.19
Each line ends with the local moment (μB).
Element x y z (fractional)
Rb1 0.0000 0.0000 0.0000  0.01
B1 0.1918 0.3835 0.7581  0.20
B2 0.8082 0.6165 0.2419  0.20
H1 0.6367 0.6855 0.1945  0.00
H2 0.9512 0.3145 0.8055  0.00
H3 0.0548 0.1097 0.5665  0.09
H4 0.9452 0.8903 0.4335  0.09
H5 0.0488 0.6855 0.1945  0.00
H6 0.3633 0.3145 0.8055  0.00
H7 0.3268 0.6535 0.7572  0.00
H8 0.6732 0.3465 0.2428  0.00